K2VWO6 after structural relaxation, computed with PBE+U.

Unit cell a=5.6031 b=5.6031 c=4.0115 alpha=90.00 beta=90.00 gamma=90.00
Closest atoms and distances in Å follow each position.
Space group P4mm (No. 99)
Asymmetric unit:
1 K 0.0000 0.5000 0.0000 (multiplicity 2)  12 O 2.79-2.85
2 V 0.0000 0.0000 0.4590 (multiplicity 1)  1 O 1.72
3 W 0.5000 0.5000 0.5034 (multiplicity 1)  6 O 1.94-2.04
4 O 0.0000 0.0000 0.0310 (multiplicity 1)  1 V 1.72
5 O 0.2552 0.2552 0.5117 (multiplicity 4)  1 W 1.94, 1 V 2.03
6 O 0.5000 0.5000 0.0114 (multiplicity 1)  2 W 1.97-2.04

Computed properties:
For the total energy, the calculation gives -6.66 eV/atom.

***

K2YV2O6 after structural relaxation, computed with PBE+U.

Unit cell a=6.1159 b=6.1159 c=18.1456 alpha=90.00 beta=90.00 gamma=120.00
Closest atoms and distances in Å follow each position.
Space group R-3m (No. 166, hexagonal axes)
Asymmetric unit:
1 K 0.0000 0.0000 0.2080 (multiplicity 6)  9 O 2.95-3.18
2 Y 0.0000 0.0000 0.0000 (multiplicity 3)  6 O 2.28
3 V 0.0000 0.0000 0.4193 (multiplicity 6)  3 O 1.76
4 O 0.0027 0.5014 0.2551 (multiplicity 18)  1 V 1.76

Computed properties:
For the total energy, the calculation gives -7.01 eV/atom.